1.
Below is an optimized crystal structure of FePRh2, with properties calculated at the GGA-PBEsol level.

Structure (CIF):
```
data_FePRh2
_cell_length_a 3.7940
_cell_length_b 3.7940
_cell_length_c 6.8669
_cell_angle_alpha 90.00
_cell_angle_beta 90.00
_cell_angle_gamma 90.00
_symmetry_space_group_name_H-M 'I 4/m m m'
_symmetry_Int_Tables_number 139
_symmetry_space_group_name_Hall '-I 4 2'
loop_
_atom_site_label
_atom_site_fract_x
_atom_site_fract_y
_atom_site_fract_z
Fe1 0.0000 0.0000 0.0000
P1 0.0000 0.0000 0.5000
Rh1 0.0000 0.5000 0.2500
```

Properties
- Total magnetization: 3.13 μB/f.u.
- Total DFT energy (no corrections): -7.9776 eV/atom
- Calculated formation energy: -0.9 eV per formula unit
- DOS(E_F): 3.95 states/eV/f.u.


2.
Below is an optimized crystal structure of CaBeNi3, with properties calculated at the GGA-PBEsol level.

Structure (CIF):
```
data_CaBeNi3
_cell_length_a 4.0265
_cell_length_b 4.0265
_cell_length_c 4.0265
_cell_angle_alpha 90.00
_cell_angle_beta 90.00
_cell_angle_gamma 90.00
_symmetry_space_group_name_H-M 'P m -3 m'
_symmetry_Int_Tables_number 221
_symmetry_space_group_name_Hall '-P 4 2 3'
loop_
_atom_site_label
_atom_site_fract_x
_atom_site_fract_y
_atom_site_fract_z
Ca1 0.0000 0.0000 0.0000
Be1 0.5000 0.5000 0.5000
Ni1 0.0000 0.5000 0.5000
```

Properties
- Total magnetization: 0.00 μB/f.u.
- Total DFT energy (no corrections): -4.9146 eV/atom
- Calculated formation energy: 0.0 eV per formula unit
- DOS(E_F): 0.64 states/eV/f.u.


3.
Below is an optimized crystal structure of MnFe2W, with properties calculated at the GGA-PBEsol level.

Structure (CIF):
```
data_MnFe2W
_cell_length_a 2.9354
_cell_length_b 2.9354
_cell_length_c 5.5907
_cell_angle_alpha 90.00
_cell_angle_beta 90.00
_cell_angle_gamma 90.00
_symmetry_space_group_name_H-M 'P 4 m m'
_symmetry_Int_Tables_number 99
_symmetry_space_group_name_Hall 'P 4 -2'
loop_
_atom_site_label
_atom_site_fract_x
_atom_site_fract_y
_atom_site_fract_z
Mn1 0.0000 0.0000 0.0000
Fe1 0.0000 0.0000 0.5188
Fe2 0.5000 0.5000 0.7532
W1 0.5000 0.5000 0.2539
```

Properties
- Total magnetization: 4.83 μB/f.u.
- Total DFT energy (no corrections): -10.2785 eV/atom
- Calculated formation energy: 0.4 eV per formula unit
- DOS(E_F): 3.16 states/eV/f.u.
- Energy relative to the lowest polymorph listed for this composition: 37 meV per atom


4.
Below is an optimized crystal structure of In3Pd2, with properties calculated at the GGA-PBEsol level.

Structure (CIF):
```
data_In3Pd2
_cell_length_a 4.5189
_cell_length_b 4.5189
_cell_length_c 5.5127
_cell_angle_alpha 90.00
_cell_angle_beta 90.00
_cell_angle_gamma 120.00
_symmetry_space_group_name_H-M 'P -3 m 1'
_symmetry_Int_Tables_number 164
_symmetry_space_group_name_Hall '-P 3 2"'
loop_
_atom_site_label
_atom_site_fract_x
_atom_site_fract_y
_atom_site_fract_z
In1 0.0000 0.0000 0.0000
In2 0.3333 0.6667 0.6444
Pd1 0.3333 0.6667 0.1488
```

Properties
- Total magnetization: 0.00 μB/f.u.
- Total DFT energy (no corrections): -4.6749 eV/atom
- Calculated formation energy: -2.5 eV per formula unit
- DOS(E_F): 1.30 states/eV/f.u.


5.
Below is an optimized crystal structure of TlP2Ir2, with properties calculated at the GGA-PBEsol level.

Structure (CIF):
```
data_TlP2Ir2
_cell_length_a 3.9047
_cell_length_b 3.9047
_cell_length_c 12.6740
_cell_angle_alpha 90.00
_cell_angle_beta 90.00
_cell_angle_gamma 90.00
_symmetry_space_group_name_H-M 'I 4/m m m'
_symmetry_Int_Tables_number 139
_symmetry_space_group_name_Hall '-I 4 2'
loop_
_atom_site_label
_atom_site_fract_x
_atom_site_fract_y
_atom_site_fract_z
Tl1 0.0000 0.0000 0.0000
P1 0.0000 0.0000 0.3523
Ir1 0.0000 0.5000 0.2500
```

Properties
- Total magnetization: 0.00 μB/f.u.
- Total DFT energy (no corrections): -7.1170 eV/atom
- Calculated formation energy: -1.7 eV per formula unit
- DOS(E_F): 0.87 states/eV/f.u.


6.
Below is an optimized crystal structure of SrAgP2, with properties calculated at the GGA-PBEsol level.

Structure (CIF):
```
data_SrAgP2
_cell_length_a 6.8424
_cell_length_b 6.8424
_cell_length_c 6.8424
_cell_angle_alpha 90.00
_cell_angle_beta 90.00
_cell_angle_gamma 90.00
_symmetry_space_group_name_H-M 'F -4 3 m'
_symmetry_Int_Tables_number 216
_symmetry_space_group_name_Hall 'F -4 2 3'
loop_
_atom_site_label
_atom_site_fract_x
_atom_site_fract_y
_atom_site_fract_z
Sr1 0.0000 0.0000 0.0000
Ag1 0.2500 0.2500 0.2500
P1 0.0000 0.0000 0.5000
P2 0.2500 0.2500 0.7500
```

Properties
- Total magnetization: 0.00 μB/f.u.
- Total DFT energy (no corrections): -4.0882 eV/atom
- Calculated formation energy: 0.4 eV per formula unit
- DOS(E_F): 2.33 states/eV/f.u.


7.
Below is an optimized crystal structure of Ta2Mn, with properties calculated at the GGA-PBEsol level.

Structure (CIF):
```
data_Ta2Mn
_cell_length_a 3.1023
_cell_length_b 13.2387
_cell_length_c 4.4249
_cell_angle_alpha 90.00
_cell_angle_beta 90.00
_cell_angle_gamma 90.00
_symmetry_space_group_name_H-M 'C m c m'
_symmetry_Int_Tables_number 63
_symmetry_space_group_name_Hall '-C 2c 2'
loop_
_atom_site_label
_atom_site_fract_x
_atom_site_fract_y
_atom_site_fract_z
Ta1 0.0000 0.0764 0.2500
Ta2 0.0000 0.2423 0.7500
Mn1 0.0000 0.4192 0.2500
```

Properties
- Total magnetization: 0.00 μB/f.u.
- Total DFT energy (no corrections): -11.7361 eV/atom
- Calculated formation energy: -0.3 eV per formula unit
- DOS(E_F): 1.29 states/eV/f.u.


8.
Below is an optimized crystal structure of CaLa3Ru, with properties calculated at the GGA-PBEsol level.

Structure (CIF):
```
data_CaLa3Ru
_cell_length_a 5.5523
_cell_length_b 5.5523
_cell_length_c 5.5523
_cell_angle_alpha 90.00
_cell_angle_beta 90.00
_cell_angle_gamma 90.00
_symmetry_space_group_name_H-M 'P m -3 m'
_symmetry_Int_Tables_number 221
_symmetry_space_group_name_Hall '-P 4 2 3'
loop_
_atom_site_label
_atom_site_fract_x
_atom_site_fract_y
_atom_site_fract_z
Ca1 0.0000 0.0000 0.0000
La1 0.0000 0.5000 0.5000
Ru1 0.5000 0.5000 0.5000
```

Properties
- Total magnetization: 0.00 μB/f.u.
- Total DFT energy (no corrections): -5.7704 eV/atom
- Calculated formation energy: -0.5 eV per formula unit
- DOS(E_F): 4.65 states/eV/f.u.


9.
Below is an optimized crystal structure of Y3ZnC, with properties calculated at the GGA-PBEsol level.

Structure (CIF):
```
data_Y3ZnC
_cell_length_a 4.8240
_cell_length_b 4.8240
_cell_length_c 4.8240
_cell_angle_alpha 90.00
_cell_angle_beta 90.00
_cell_angle_gamma 90.00
_symmetry_space_group_name_H-M 'P m -3 m'
_symmetry_Int_Tables_number 221
_symmetry_space_group_name_Hall '-P 4 2 3'
loop_
_atom_site_label
_atom_site_fract_x
_atom_site_fract_y
_atom_site_fract_z
Y1 0.0000 0.0000 0.5000
Zn1 0.5000 0.5000 0.5000
C1 0.0000 0.0000 0.0000
```

Properties
- Total magnetization: 0.84 μB/f.u.
- Total DFT energy (no corrections): -6.6066 eV/atom
- Calculated formation energy: -1.3 eV per formula unit
- DOS(E_F): 6.10 states/eV/f.u.
- Energy relative to the lowest polymorph listed for this composition: 0 meV per atom


10.
Below is an optimized crystal structure of Y2BeSi, with properties calculated at the GGA-PBEsol level.

Structure (CIF):
```
data_Y2BeSi
_cell_length_a 3.8489
_cell_length_b 4.0926
_cell_length_c 10.5701
_cell_angle_alpha 90.00
_cell_angle_beta 90.00
_cell_angle_gamma 90.00
_symmetry_space_group_name_H-M 'A m m 2'
_symmetry_Int_Tables_number 38
_symmetry_space_group_name_Hall 'A 2 -2'
loop_
_atom_site_label
_atom_site_fract_x
_atom_site_fract_y
_atom_site_fract_z
Y1 0.0000 0.0000 0.0000
Y2 0.5000 0.0000 0.2851
Be1 0.0000 0.0000 0.7006
Si1 0.5000 0.0000 0.5803
```

Properties
- Total magnetization: 0.00 μB/f.u.
- Total DFT energy (no corrections): -6.3542 eV/atom
- DOS(E_F): 3.83 states/eV/f.u.
- ΔE_f (raw): -0.51 eV per atom
- Energy relative to the lowest polymorph listed for this composition: 0 meV per atom